No. 1
Material: SrZnCd
Method: DFT, PBE-GGA
State: relaxed

Lattice parameters (Å, degrees): 3.8735 3.8735 10.8811 90.00 90.00 90.00
Fractional positions:
Sr 0.0000 0.0000 0.0000
Sr 0.5000 0.5000 0.5000
Zn 0.0000 0.0000 0.6852
Zn 0.5000 0.5000 0.1852
Cd 0.0000 0.0000 0.3053
Cd 0.5000 0.5000 0.8053

Summary:
E_form, kcal/mol of atoms: -4.0
Raw total energy, eV for the cell shown: -8.8
DOS at the Fermi energy, states/eV/atom: 0.36

No. 2
Material: Sn3CN
Method: DFT, PBE-GGA
State: relaxed

Lattice parameters (Å, degrees): 4.6740 4.6740 4.6740 90.00 90.00 90.00
Fractional positions:
Sn 0.0000 0.0000 0.5000
Sn 0.0000 0.5000 0.0000
Sn 0.5000 0.0000 0.0000
C 0.5000 0.5000 0.5000
N 0.0000 0.0000 0.0000

Summary:
Raw total energy, eV for the cell shown: -21.7
Energy above the most stable polymorph in this dataset, kJ/mol of atoms: 0.0
DOS at the Fermi energy, states/eV/atom: 0.71

No. 3
Material: CaHgPt2
Method: DFT, PBE-GGA
State: relaxed

Lattice parameters (Å, degrees): 3.6020 3.6020 6.0644 90.00 90.00 90.00
Fractional positions:
Ca 0.0000 0.0000 0.0000
Hg 0.0000 0.0000 0.5000
Pt 0.5000 0.5000 0.2620
Pt 0.5000 0.5000 0.7380

Summary:
E_form, kcal/mol of atoms: -9.7
Raw total energy, eV for the cell shown: -16.1
DOS at the Fermi energy, states/eV/atom: 0.51

No. 4
Material: TiOs2Pt
Method: DFT, PBE-GGA
State: relaxed

Lattice parameters (Å, degrees): 3.7963 3.7963 18.2868 90.00 90.00 90.00
Fractional positions:
Ti 0.0000 0.0000 0.0000
Ti 0.0000 0.5000 0.2500
Ti 0.5000 0.0000 0.7500
Ti 0.5000 0.5000 0.5000
Os 0.2141 0.2500 0.1250
Os 0.2500 0.7141 0.3750
Os 0.2500 0.7859 0.8750
Os 0.2859 0.2500 0.6250
Os 0.7141 0.7500 0.6250
Os 0.7500 0.2141 0.8750
Os 0.7500 0.2859 0.3750
Os 0.7859 0.7500 0.1250
Pt 0.0000 0.0000 0.5000
Pt 0.0000 0.5000 0.7500
Pt 0.5000 0.0000 0.2500
Pt 0.5000 0.5000 0.0000

Summary:
E_form, kcal/mol of atoms: 6.2
Raw total energy, eV for the cell shown: -141.3
DOS at the Fermi energy, states/eV/atom: 0.92

No. 5
Material: MnCuCl
Method: DFT, PBE-GGA
State: relaxed

Lattice parameters (Å, degrees): 3.2286 3.2286 5.7855 90.00 90.00 120.00
Fractional positions:
Mn 0.0000 0.0000 0.0000
Cu 0.3333 0.6667 0.7038
Cl 0.6667 0.3333 0.2947

Summary:
Raw total energy, eV for the cell shown: -15.1
Energy above the most stable polymorph in this dataset, kJ/mol of atoms: 0.0
DOS at the Fermi energy, states/eV/atom: 0.52

No. 6
Material: NbTeHPdICl
Method: DFT, PBE-GGA
State: relaxed

Lattice parameters (Å, degrees): 3.5719 6.0438 8.0386 103.35 102.77 107.13
Fractional positions:
Nb 0.0000 0.0000 0.0000
Te 0.4702 0.7670 0.1736
H 0.1122 0.2984 0.9263
Pd 0.7149 0.4399 0.9875
I 0.2659 0.8222 0.7074
Cl 0.2887 0.2728 0.3082

Summary:
Raw total energy, eV for the cell shown: -26.8
Energy above the most stable polymorph in this dataset, kJ/mol of atoms: 9.8
DOS at the Fermi energy, states/eV/atom: 0.57

Which of these has the lowest raw total energy? TiOs2Pt